## Na2MnTeO (GGA+U)

Data for Na2MnTeO after structural relaxation.

Summary:
Space-group type: P4/mmm
Magnetization in Bohr magnetons per cell: 5.08
Raw total energy in eV per atom: -3.59

Unit cell a=6.0182 b=6.0182 c=4.2100 alpha=90.00 beta=90.00 gamma=90.00
Sites, in units of the cell vectors:
Na 0.0000 0.5000 0.0000
Na 0.5000 0.0000 0.0000
Mn 0.0000 0.0000 0.5000
Te 0.5000 0.5000 0.0000
O 0.5000 0.5000 0.5000